A PBEsol-optimized structure of HgPt2Pb. Source: the Alexandria database, functional meta-GGA SCAN.

Cell: 3.557 3.557 5.904 Å, 90.00 90.00 90.00°
Element x y z (fractional)
Pt 0.000 0.000 0.761
Pt 0.000 0.000 0.239
Pb 0.500 0.500 0.500
Hg 0.500 0.500 0.000

magnetic moment	0.000	μB/atom
density of states at the Fermi level	1.101	states/eV/cell
calculated formation energy	0.124	eV/atom

=====

A PBEsol-optimized structure of SnHg2PtPb. Source: the Alexandria database, functional meta-GGA SCAN.

Cell: 5.309 5.309 5.813 Å, 90.00 90.00 90.00°
Element x y z (fractional)
Sn 0.000 0.000 0.500
Pt 0.500 0.500 0.500
Hg 0.000 0.500 0.000
Hg 0.500 0.000 0.000
Pb 0.000 0.000 0.000

magnetic moment	0.000	μB/atom
density of states at the Fermi level	3.083	states/eV/cell
calculated formation energy	1.095	eV/atom

=====

A PBEsol-optimized structure of RbHg2Pb2. Source: the Alexandria database, functional meta-GGA SCAN.

Cell: 3.508 9.200 9.200 Å, 90.00 90.00 90.00°
Element x y z (fractional)
Pb 0.000 0.372 0.872
Pb 0.000 0.628 0.128
Pb 0.000 0.128 0.372
Pb 0.000 0.872 0.628
Hg 0.500 0.334 0.166
Hg 0.500 0.666 0.834
Hg 0.500 0.834 0.334
Hg 0.500 0.166 0.666
Rb 0.000 0.000 0.000
Rb 0.000 0.500 0.500

magnetic moment	0.000	μB/atom
density of states at the Fermi level	4.355	states/eV/cell
calculated formation energy	-0.121	eV/atom
energy above the lowest structure with this stoichiometry	38	kJ/mol of formula units

=====

A PBEsol-optimized structure of RbHg2Pb2. Source: the Alexandria database, functional meta-GGA SCAN.

Cell: 5.196 5.196 7.014 Å, 111.74 111.74 90.00°
Element x y z (fractional)
Pb 0.374 0.374 0.747
Pb 0.626 0.626 0.253
Rb 0.000 0.000 0.000
Hg 0.250 0.750 0.500
Hg 0.750 0.250 0.500

magnetic moment	0.000	μB/atom
density of states at the Fermi level	2.105	states/eV/cell
calculated formation energy	-0.199	eV/atom
energy above the lowest structure with this stoichiometry	0	kJ/mol of formula units

=====

A PBEsol-optimized structure of Rb2Hg2Pb. Source: the Alexandria database, functional meta-GGA SCAN.

Cell: 5.731 7.880 7.880 Å, 90.00 90.00 90.00°
Element x y z (fractional)
Rb 0.500 0.824 0.324
Rb 0.500 0.324 0.176
Rb 0.500 0.676 0.824
Rb 0.500 0.176 0.676
Hg 0.000 0.135 0.365
Hg 0.000 0.365 0.865
Hg 0.000 0.865 0.635
Hg 0.000 0.635 0.135
Pb 0.000 0.500 0.500
Pb 0.000 0.000 0.000

magnetic moment	0.000	μB/atom
density of states at the Fermi level	4.622	states/eV/cell
calculated formation energy	-0.260	eV/atom

=====

A PBEsol-optimized structure of Re2HgPb. Source: the Alexandria database, functional meta-GGA SCAN.

Cell: 2.896 2.896 8.575 Å, 90.00 90.00 90.00°
Each line ends with the local moment (μB).
Element x y z (fractional)
Re 0.000 0.000 0.242  -0.72
Re 0.000 0.000 0.758  -0.72
Pb 0.500 0.500 0.500  0.00
Hg 0.500 0.500 0.000  -0.01

magnetic moment	0.427	μB/atom
density of states at the Fermi level	3.566	states/eV/cell
calculated formation energy	1.493	eV/atom
energy above the lowest structure with this stoichiometry	222	kJ/mol of formula units

=====

A PBEsol-optimized structure of Re2HgPb. Source: the Alexandria database, functional meta-GGA SCAN.

Cell: 2.866 4.740 6.415 Å, 111.68 102.91 90.00°
Element x y z (fractional)
Pb 0.288 0.788 0.575
Hg 0.495 0.495 0.990
Re 0.020 0.020 0.039
Re 0.698 0.198 0.396

magnetic moment	0.000	μB/atom
density of states at the Fermi level	2.484	states/eV/cell
calculated formation energy	0.917	eV/atom
energy above the lowest structure with this stoichiometry	0	kJ/mol of formula units

=====

A PBEsol-optimized structure of ReHgPb2. Source: the Alexandria database, functional meta-GGA SCAN.

Cell: 5.003 5.003 5.003 Å, 60.00 60.00 60.00°
Each line ends with the local moment (μB).
Element x y z (fractional)
Pb 0.750 0.750 0.750  -0.07
Pb 0.000 0.000 0.000  -0.04
Hg 0.500 0.500 0.500  0.00
Re 0.250 0.250 0.250  1.31

magnetic moment	0.376	μB/atom
density of states at the Fermi level	3.498	states/eV/cell
calculated formation energy	1.176	eV/atom